1.
SnPb2Br | PBE-GGA | relaxed

Structure (POSCAR):
```
SnPb2Br
1.0
5.839 0.000 0.000
0.000 5.839 0.000
0.000 0.000 3.524
Sn Pb Br
1 2 1
direct
0.000 0.000 0.000
0.000 0.500 0.500
0.500 0.000 0.500
0.500 0.500 0.000
```

Properties
space group: No. 123
excess energy over the best structure of this formula in the dataset: 48 meV per atom
M_tot: 0.00 μB per formula unit


2.
SnPb2Br6 | PBE-GGA | relaxed

Structure (POSCAR):
```
SnPb2Br6
1.0
9.361 -2.230 0.000
9.361 2.230 0.000
-1.403 0.000 8.415
Sn Pb Br
1 2 6
direct
0.000 0.000 0.000
0.334 0.334 0.669
0.666 0.666 0.331
0.164 0.164 0.082
0.168 0.168 0.580
0.500 0.500 0.242
0.500 0.500 0.758
0.832 0.832 0.420
0.836 0.836 0.918
```

Properties
space group: No. 12
excess energy over the best structure of this formula in the dataset: 0 meV per atom
M_tot: 0.00 μB per formula unit


3.
SnPbBr | PBE-GGA | relaxed

Structure (POSCAR):
```
SnPbBr
1.0
15.425 0.000 0.000
0.000 1.837 3.130
0.000 -1.837 3.130
Sn Pb Br
2 2 2
direct
0.000 0.000 0.000
0.500 0.465 0.465
0.323 0.136 0.136
0.677 0.136 0.136
0.158 0.467 0.467
0.842 0.467 0.467
```

Properties
space group: No. 38
M_tot: 0.00 μB per formula unit


4.
SnPb3Br8 | PBE-GGA | relaxed

Structure (POSCAR):
```
SnPb3Br8
1.0
7.241 -4.468 0.000
7.241 4.468 0.000
-4.540 0.000 7.244
Sn Pb Br
1 3 8
direct
0.000 0.000 0.000
0.000 0.500 0.500
0.500 0.000 0.500
0.500 0.500 0.000
0.247 0.247 0.249
0.247 0.753 0.244
0.247 0.753 0.756
0.251 0.251 0.747
0.749 0.749 0.253
0.753 0.247 0.244
0.753 0.247 0.756
0.753 0.753 0.751
```

Properties
space group: No. 12
M_tot: 0.00 μB per formula unit


5.
SnPb2Br6 | PBE-GGA | relaxed

Structure (POSCAR):
```
SnPb2Br6
1.0
7.149 0.000 0.000
0.000 7.149 0.000
0.000 0.000 13.674
Sn Pb Br
2 4 12
direct
0.000 0.000 0.000
0.500 0.500 0.500
0.000 0.000 0.334
0.000 0.000 0.666
0.500 0.500 0.166
0.500 0.500 0.834
0.198 0.198 0.164
0.198 0.198 0.836
0.203 0.203 0.500
0.297 0.703 0.000
0.302 0.698 0.336
0.302 0.698 0.664
0.698 0.302 0.336
0.698 0.302 0.664
0.703 0.297 0.000
0.797 0.797 0.500
0.802 0.802 0.164
0.802 0.802 0.836
```

Properties
space group: No. 136
excess energy over the best structure of this formula in the dataset: 9 meV per atom
M_tot: 0.00 μB per formula unit


6.
Sn3PbBr8 | PBE-GGA | relaxed

Structure (POSCAR):
```
Sn3PbBr8
1.0
7.305 -4.425 0.000
7.305 4.425 0.000
-4.711 0.000 7.204
Sn Pb Br
3 1 8
direct
0.000 0.000 0.000
0.000 0.500 0.500
0.500 0.000 0.500
0.500 0.500 0.000
0.244 0.751 0.753
0.248 0.248 0.256
0.249 0.249 0.740
0.249 0.756 0.247
0.751 0.244 0.753
0.751 0.751 0.260
0.752 0.752 0.744
0.756 0.249 0.247
```

Properties
space group: No. 12
M_tot: 0.00 μB per formula unit


7.
Sn2Pb2Br | PBE-GGA | relaxed

Structure (POSCAR):
```
Sn2Pb2Br
1.0
9.267 0.000 0.000
0.000 9.267 0.000
0.000 0.000 3.662
Sn Pb Br
4 4 2
direct
0.119 0.381 0.000
0.381 0.881 0.000
0.619 0.119 0.000
0.881 0.619 0.000
0.176 0.676 0.500
0.324 0.176 0.500
0.676 0.824 0.500
0.824 0.324 0.500
0.000 0.000 0.500
0.500 0.500 0.500
```

Properties
space group: No. 127
excess energy over the best structure of this formula in the dataset: 126 meV per atom
M_tot: 0.00 μB per formula unit


8.
SnPb2Br | PBE-GGA | relaxed

Structure (POSCAR):
```
SnPb2Br
1.0
-3.395 3.395 7.712
3.395 -3.395 7.712
3.395 3.395 -7.712
Sn Pb Br
2 4 2
direct
0.000 0.000 0.000
0.750 0.250 0.500
0.115 0.625 0.990
0.375 0.365 0.490
0.635 0.125 0.010
0.875 0.885 0.510
0.250 0.750 0.500
0.500 0.500 0.000
```

Properties
space group: No. 122
excess energy over the best structure of this formula in the dataset: 256 meV per atom
M_tot: 0.00 μB per formula unit


9.
Sn2Pb2Br | PBE-GGA | relaxed

Structure (POSCAR):
```
Sn2Pb2Br
1.0
9.264 0.000 0.000
0.000 9.264 0.000
0.000 0.000 3.612
Sn Pb Br
4 4 2
direct
0.148 0.352 0.000
0.352 0.852 0.000
0.648 0.148 0.000
0.852 0.648 0.000
0.147 0.647 0.500
0.353 0.147 0.500
0.647 0.853 0.500
0.853 0.353 0.500
0.000 0.000 0.000
0.500 0.500 0.000
```

Properties
space group: No. 127
excess energy over the best structure of this formula in the dataset: 147 meV per atom
M_tot: 0.00 μB per formula unit


10.
SnPb2Br | PBE-GGA | relaxed

Structure (POSCAR):
```
SnPb2Br
1.0
3.714 0.000 0.000
0.000 3.714 0.000
0.000 0.000 8.709
Sn Pb Br
1 2 1
direct
0.000 0.000 0.000
0.500 0.500 0.244
0.500 0.500 0.756
0.000 0.000 0.500
```

Properties
space group: No. 123
excess energy over the best structure of this formula in the dataset: 0 meV per atom
M_tot: 0.00 μB per formula unit


11.
SnPb2Br | PBE-GGA | relaxed

Structure (POSCAR):
```
SnPb2Br
1.0
2.238 1.292 7.784
-2.238 1.292 7.784
0.000 -2.584 7.784
Sn Pb Br
1 2 1
direct
0.000 0.000 0.000
0.260 0.260 0.260
0.740 0.740 0.740
0.500 0.500 0.500
```

Properties
space group: No. 166
excess energy over the best structure of this formula in the dataset: 22 meV per atom
M_tot: 0.00 μB per formula unit


12.
Sn2Pb2Br | PBE-GGA | relaxed

Structure (POSCAR):
```
Sn2Pb2Br
1.0
-2.188 2.188 8.398
2.188 -2.188 8.398
2.188 2.188 -8.398
Sn Pb Br
2 2 1
direct
0.250 0.750 0.500
0.750 0.250 0.500
0.107 0.107 0.000
0.893 0.893 0.000
0.500 0.500 0.000
```

Properties
space group: No. 139
excess energy over the best structure of this formula in the dataset: 0 meV per atom
M_tot: 0.00 μB per formula unit


13.
Sn3Pb5Br16 | PBE-GGA | relaxed

Structure (POSCAR):
```
Sn3Pb5Br16
1.0
7.701 -4.442 0.000
7.701 4.442 0.000
-0.062 0.000 13.845
Sn Pb Br
3 5 16
direct
0.000 0.000 0.000
0.169 0.665 0.499
0.665 0.169 0.499
0.164 0.164 0.266
0.497 0.497 0.765
0.497 0.999 0.999
0.666 0.666 0.498
0.999 0.497 0.999
0.159 0.671 0.879
0.162 0.162 0.877
0.318 0.854 0.127
0.320 0.320 0.130
0.340 0.809 0.627
0.343 0.343 0.625
0.499 0.499 0.378
0.508 0.997 0.378
0.671 0.159 0.879
0.671 0.671 0.874
0.809 0.340 0.627
0.834 0.834 0.118
0.837 0.837 0.616
0.854 0.318 0.127
0.995 0.995 0.383
0.997 0.508 0.378
```

Properties
space group: No. 8
M_tot: 0.00 μB per formula unit


14.
SnPb2Br | PBE-GGA | relaxed

Structure (POSCAR):
```
SnPb2Br
1.0
0.000 3.895 3.895
3.895 0.000 3.895
3.895 3.895 0.000
Sn Pb Br
1 2 1
direct
0.000 0.000 0.000
0.250 0.250 0.250
0.750 0.750 0.750
0.500 0.500 0.500
```

Properties
space group: No. 225
excess energy over the best structure of this formula in the dataset: 90 meV per atom
M_tot: 0.00 μB per formula unit


15.
SnPb2Br | PBE-GGA | relaxed

Structure (POSCAR):
```
SnPb2Br
1.0
2.218 1.280 8.092
-2.218 1.280 8.092
0.000 -2.561 8.092
Sn Pb Br
1 2 1
direct
0.000 0.000 0.000
0.403 0.403 0.403
0.592 0.592 0.592
0.175 0.175 0.175
```

Properties
space group: No. 160
excess energy over the best structure of this formula in the dataset: 52 meV per atom
M_tot: 0.00 μB per formula unit


16.
Sn2PbBr8 | PBE-GGA | relaxed

Structure (POSCAR):
```
Sn2PbBr8
1.0
8.557 0.000 0.000
-4.278 7.410 0.000
0.000 0.000 8.349
Sn Pb Br
2 1 8
direct
0.333 0.667 0.309
0.667 0.333 0.691
0.000 0.000 0.000
0.161 0.321 0.218
0.161 0.839 0.218
0.321 0.161 0.782
0.333 0.667 0.614
0.667 0.333 0.386
0.679 0.839 0.218
0.839 0.161 0.782
0.839 0.679 0.782
```

Properties
space group: No. 164
M_tot: 0.00 μB per formula unit


17.
Sr2SnPbBr | PBE-GGA | relaxed

Structure (POSCAR):
```
Sr2SnPbBr
1.0
5.854 0.000 0.000
0.000 5.854 0.000
0.000 0.000 5.745
Sr Sn Pb Br
2 1 1 1
direct
0.000 0.500 0.000
0.500 0.000 0.000
0.000 0.000 0.500
0.500 0.500 0.500
0.500 0.500 0.000
```

Properties
space group: No. 123
M_tot: 0.00 μB per formula unit


18.
SrSnPb2Br8 | PBE-GGA | relaxed

Structure (POSCAR):
```
SrSnPb2Br8
1.0
6.920 0.000 0.000
0.000 9.174 0.000
-0.028 0.000 7.241
Sr Sn Pb Br
1 1 2 8
direct
0.000 0.000 0.000
0.000 0.500 0.000
0.500 0.253 0.500
0.500 0.747 0.500
0.236 0.255 0.158
0.236 0.745 0.158
0.257 0.500 0.664
0.263 0.000 0.657
0.737 0.000 0.343
0.743 0.500 0.336
0.764 0.255 0.842
0.764 0.745 0.842
```

Properties
space group: No. 10
M_tot: 0.00 μB per formula unit


19.
SrSnPbBr2 | PBE-GGA | relaxed

Structure (POSCAR):
```
SrSnPbBr2
1.0
5.723 0.000 0.000
0.000 5.723 0.000
0.000 0.000 6.665
Sr Sn Pb Br
1 1 1 2
direct
0.000 0.000 0.000
0.500 0.500 0.000
0.000 0.000 0.500
0.000 0.500 0.500
0.500 0.000 0.500
```

Properties
space group: No. 123
M_tot: 1.43 μB per formula unit


20.
TcSn2PbBr | PBE-GGA | relaxed

Structure (POSCAR):
```
TcSn2PbBr
1.0
5.182 0.000 0.000
0.000 5.182 0.000
0.000 0.000 5.346
Tc Sn Pb Br
1 2 1 1
direct
0.000 0.000 0.000
0.000 0.500 0.000
0.500 0.000 0.000
0.000 0.000 0.500
0.500 0.500 0.500
```

Properties
space group: No. 123
M_tot: 0.00 μB per formula unit


21.
SnTePbBr2 | PBE-GGA | relaxed

Structure (POSCAR):
```
SnTePbBr2
1.0
2.171 -6.838 0.000
2.171 6.838 0.000
0.000 0.000 11.786
Sn Te Pb Br
2 2 2 4
direct
0.000 0.000 0.000
0.000 0.000 0.500
0.086 0.914 0.750
0.914 0.086 0.250
0.258 0.742 0.250
0.742 0.258 0.750
0.357 0.643 0.566
0.357 0.643 0.934
0.643 0.357 0.066
0.643 0.357 0.434
```

Properties
space group: No. 63
M_tot: 0.00 μB per formula unit


22.
TlSn2PbBr8 | PBE-GGA | relaxed

Structure (POSCAR):
```
TlSn2PbBr8
1.0
7.012 0.000 0.000
0.000 8.750 0.000
-0.094 0.000 7.339
Tl Sn Pb Br
1 2 1 8
direct
0.000 0.000 0.000
0.500 0.251 0.500
0.500 0.749 0.500
0.000 0.500 0.000
0.250 0.261 0.185
0.250 0.739 0.185
0.264 0.500 0.670
0.281 0.000 0.656
0.719 0.000 0.344
0.736 0.500 0.330
0.750 0.261 0.815
0.750 0.739 0.815
```

Properties
space group: No. 10
M_tot: 0.00 μB per formula unit


23.
TlSnPbBr6 | PBE-GGA | relaxed

Structure (POSCAR):
```
TlSnPbBr6
1.0
7.588 0.000 0.000
-3.794 6.571 0.000
0.000 0.000 14.260
Tl Sn Pb Br
2 2 2 12
direct
0.000 0.000 0.000
0.000 0.000 0.500
0.333 0.667 0.250
0.667 0.333 0.750
0.333 0.667 0.750
0.667 0.333 0.250
0.025 0.373 0.133
0.025 0.651 0.367
0.349 0.373 0.367
0.349 0.975 0.133
0.373 0.025 0.633
0.373 0.349 0.867
0.627 0.651 0.133
0.627 0.975 0.367
0.651 0.025 0.867
0.651 0.627 0.633
0.975 0.349 0.633
0.975 0.627 0.867
```

Properties
space group: No. 163
M_tot: 0.00 μB per formula unit


Asked for energy across the records above, the calculation gives -3.436 -3.245 -3.345 -3.250 -3.236 -3.221 -3.474 -3.229 -3.454 -3.485 -3.463 -3.601 -3.243 -3.395 -3.433 -2.908 -2.909 -3.375 -2.693 -4.910 -3.404 -3.028 -3.007 eV/atom in order.